*i*
Nd2AlPd3: relaxed, PBE.

Properties
**Magnetization**: 0.00 μB/cell
**Theoretical density**: 7778 kg/m3
**Space-group type**: Immm (71)

The structure in POSCAR format:
```
Nd2AlPd3
1.0
4.373 0.000 0.000
0.000 5.563 0.000
-2.187 -2.782 5.570
Nd Al Pd
2 1 3
direct
0.684 0.184 0.367
0.316 0.816 0.633
0.000 0.500 0.000
0.377 0.377 0.753
0.000 0.000 0.000
0.623 0.623 0.247
```

---

*ii*
Nd2AlPd3: relaxed, PBE.

Properties
**Magnetization**: 0.00 μB/cell
**Theoretical density**: 8799 kg/m3
**Space-group type**: P6_3/mmc (194)

The structure in POSCAR format:
```
Nd2AlPd3
1.0
-4.982 0.676 -2.704
2.882 -4.902 -0.509
-4.089 -3.107 6.758
Nd Al Pd
4 2 6
direct
0.667 0.333 0.441
0.333 0.667 0.559
0.333 0.667 0.941
0.667 0.333 0.059
0.000 0.000 0.500
0.000 0.000 0.000
0.167 0.333 0.250
0.333 0.167 0.750
0.833 0.667 0.750
0.167 0.833 0.250
0.833 0.167 0.750
0.667 0.833 0.250
```

---

*ii* takes first place; second place is 0.155 eV/atom up.